1.
HfBiI2O | GGA-PBE | relaxed

The structure in POSCAR format:
```
HfBiI2O
1.0
6.2683 0.0000 0.0000
0.0000 6.2683 0.0000
0.0000 0.0000 4.2420
Hf Bi I O
1 1 2 1
direct
0.0000 0.0000 0.0000
0.5000 0.5000 0.5000
0.0000 0.5000 0.5000
0.5000 0.0000 0.5000
0.5000 0.5000 0.0000
```

Calculated values
The value obtained for the raw total energy is -19.88 eV per cell. The value obtained for the polymorph energy (0 for the lowest one) is 1240.3 meV/atom. As for the uncorrected formation energy: 402 meV per atom.


2.
Rb2HfBiI6 | GGA-PBE | relaxed

The structure in POSCAR format:
```
Rb2HfBiI6
1.0
-4.3035 4.3035 6.8308
4.3035 -4.3035 6.8308
4.3035 4.3035 -6.8308
Rb Hf Bi I
2 1 1 6
direct
0.2500 0.7500 0.5000
0.7500 0.2500 0.5000
0.0000 0.0000 0.0000
0.5000 0.5000 0.0000
0.2120 0.2120 0.0000
0.2362 0.2362 0.4723
0.2362 0.7638 0.0000
0.7638 0.2362 0.0000
0.7638 0.7638 0.5277
0.7880 0.7880 0.0000
```

Calculated values
The value obtained for the raw total energy is -32.54 eV per cell. As for the uncorrected formation energy: -747 meV per atom.


3.
HfBiSbI2 | GGA-PBE | relaxed

The structure in POSCAR format:
```
HfBiSbI2
1.0
5.5219 0.0000 0.0000
0.0000 5.5219 0.0000
0.0000 0.0000 5.9194
Hf Bi Sb I
1 1 1 2
direct
0.0000 0.0000 0.0000
0.5000 0.5000 0.5000
0.0000 0.0000 0.5000
0.0000 0.5000 0.0000
0.5000 0.0000 0.0000
```

Calculated values
The value obtained for the raw total energy is -20.27 eV per cell. The value obtained for the polymorph energy (0 for the lowest one) is 0.0 meV/atom. As for the uncorrected formation energy: 158 meV per atom.


4.
Hf2BiSeI | GGA-PBE | relaxed

The structure in POSCAR format:
```
Hf2BiSeI
1.0
5.3551 0.0000 0.0000
0.0000 5.3551 0.0000
0.0000 0.0000 5.2938
Hf Bi Se I
2 1 1 1
direct
0.0000 0.5000 0.0000
0.5000 0.0000 0.0000
0.0000 0.0000 0.5000
0.5000 0.5000 0.5000
0.5000 0.5000 0.0000
```

Calculated values
The value obtained for the raw total energy is -23.26 eV per cell. As for the uncorrected formation energy: 1113 meV per atom.